1.
Density functional theory data (PBE-GGA) for a relaxed structure of Si2TeBr.

density: 4.3 Mg/m³
ΔE_f (raw): 2.152 eV per formula unit
spin magnetization: 0.000 μB per formula unit
calculated volume: 25.60 Å³ per atom
polymorph energy (0 for the lowest one): 0.596 eV/atom
symmetry: No. 71

Cell and atoms, written as extended XYZ:
```
4
Lattice="-1.949 3.252 4.040 1.949 -3.252 4.040 1.949 3.252 -4.040" Properties=species:S:1:pos:R:3 pbc="T T T"
Si 0.000 0.000 1.972
Si 0.000 0.000 6.108
Te 1.949 0.000 0.000
Br 0.000 3.252 0.000
```

2.
Density functional theory data (PBE-GGA) for a relaxed structure of SiTeBr.

density: 3.8 Mg/m³
ΔE_f (raw): -0.576 eV per formula unit
spin magnetization: 0.000 μB per formula unit
calculated volume: 34.71 Å³ per atom
polymorph energy (0 for the lowest one): 0.038 eV/atom
symmetry: No. 107

Cell and atoms, written as extended XYZ:
```
3
Lattice="-1.892 1.892 7.271 1.892 -1.892 7.271 1.892 1.892 -7.271" Properties=species:S:1:pos:R:3 pbc="T T T"
Si 0.000 0.000 0.000
Te 0.000 0.000 8.071
Br 0.000 0.000 12.299
```

3.
Density functional theory data (PBE-GGA) for a relaxed structure of Si4TeBr.

density: 4.6 Mg/m³
ΔE_f (raw): 3.858 eV per formula unit
spin magnetization: 0.000 μB per formula unit
calculated volume: 19.44 Å³ per atom
symmetry: No. 216

Cell and atoms, written as extended XYZ:
```
6
Lattice="0.000 3.878 3.878 3.878 0.000 3.878 3.878 3.878 0.000" Properties=species:S:1:pos:R:3 pbc="T T T"
Si 2.919 2.919 2.919
Si 4.837 4.837 2.919
Si 4.837 2.919 4.837
Si 2.919 4.837 4.837
Te 0.000 0.000 0.000
Br 5.817 5.817 5.817
```

4.
Density functional theory data (PBE-GGA) for a relaxed structure of SiTe2Br.

density: 5.0 Mg/m³
ΔE_f (raw): 0.649 eV per formula unit
spin magnetization: 0.000 μB per formula unit
calculated volume: 30.37 Å³ per atom
polymorph energy (0 for the lowest one): 0.178 eV/atom
symmetry: No. 6

Cell and atoms, written as extended XYZ:
```
4
Lattice="4.066 0.000 0.000 0.000 5.296 0.000 -1.936 0.000 5.641" Properties=species:S:1:pos:R:3 pbc="T T T"
Si 0.000 0.000 0.000
Te 0.844 2.648 0.303
Te 2.083 0.000 1.738
Br 0.030 2.648 3.264
```

5.
Density functional theory data (PBE-GGA) for a relaxed structure of Si2TeBr.

density: 4.2 Mg/m³
ΔE_f (raw): 2.006 eV per formula unit
spin magnetization: 0.000 μB per formula unit
calculated volume: 26.04 Å³ per atom
polymorph energy (0 for the lowest one): 0.559 eV/atom
symmetry: No. 122

Cell and atoms, written as extended XYZ:
```
8
Lattice="-3.815 3.815 3.578 3.815 -3.815 3.578 3.815 3.815 -3.578" Properties=species:S:1:pos:R:3 pbc="T T T"
Si 5.723 1.819 -0.894
Si 1.819 1.908 0.894
Si -1.908 1.996 2.683
Si 1.996 1.908 4.472
Te 0.000 0.000 0.000
Te 0.000 3.815 1.789
Br 3.815 0.000 1.789
Br 0.000 0.000 3.578
```

6.
Density functional theory data (PBE-GGA) for a relaxed structure of SiTe2Br.

density: 5.9 Mg/m³
ΔE_f (raw): 1.908 eV per formula unit
spin magnetization: 0.000 μB per formula unit
calculated volume: 25.41 Å³ per atom
polymorph energy (0 for the lowest one): 0.493 eV/atom
symmetry: No. 119

Cell and atoms, written as extended XYZ:
```
4
Lattice="-2.615 2.615 3.717 2.615 -2.615 3.717 2.615 2.615 -3.717" Properties=species:S:1:pos:R:3 pbc="T T T"
Si 0.000 0.000 0.000
Te 2.615 0.000 1.858
Te 0.000 0.000 3.717
Br 0.000 2.615 1.858
```

What did the third record say?
Density functional theory data (PBE-GGA) for a relaxed structure of Si4TeBr.

density: 4.6 Mg/m³
ΔE_f (raw): 3.858 eV per formula unit
spin magnetization: 0.000 μB per formula unit
calculated volume: 19.44 Å³ per atom
symmetry: No. 216

Cell and atoms, written as extended XYZ:
```
6
Lattice="0.000 3.878 3.878 3.878 0.000 3.878 3.878 3.878 0.000" Properties=species:S:1:pos:R:3 pbc="T T T"
Si 2.919 2.919 2.919
Si 4.837 4.837 2.919
Si 4.837 2.919 4.837
Si 2.919 4.837 4.837
Te 0.000 0.000 0.000
Br 5.817 5.817 5.817
```

Please write out number 5 again, unchanged.
Density functional theory data (PBE-GGA) for a relaxed structure of Si2TeBr.

density: 4.2 Mg/m³
ΔE_f (raw): 2.006 eV per formula unit
spin magnetization: 0.000 μB per formula unit
calculated volume: 26.04 Å³ per atom
polymorph energy (0 for the lowest one): 0.559 eV/atom
symmetry: No. 122

Cell and atoms, written as extended XYZ:
```
8
Lattice="-3.815 3.815 3.578 3.815 -3.815 3.578 3.815 3.815 -3.578" Properties=species:S:1:pos:R:3 pbc="T T T"
Si 5.723 1.819 -0.894
Si 1.819 1.908 0.894
Si -1.908 1.996 2.683
Si 1.996 1.908 4.472
Te 0.000 0.000 0.000
Te 0.000 3.815 1.789
Br 3.815 0.000 1.789
Br 0.000 0.000 3.578
```

The lowest density belongs to which entry? SiTeBr

Look up the ΔE_f (raw) of the second one. -0.576 eV per formula unit